# Nd3YEr2Se6

A relaxed structure of Nd3YEr2Se6 (PBE, Alexandria via LeMat-Bulk).

- V: 25.13 Å³ per atom
- ΔE_f (raw): -1.7867 eV/atom

```
data_Nd3YEr2Se6
_chemical_formula_sum 'Nd6 Y2 Er4 Se12'
_space_group_name_H-M_alt 'C 1 2/m 1'
_space_group_IT_number 12
_cell_length_a 7.081
_cell_length_b 12.329
_cell_length_c 7.306
_cell_angle_alpha 90.00
_cell_angle_beta 108.97
_cell_angle_gamma 90.00
loop_
_space_group_symop_operation_xyz
'x,y,z'
'-x,-y,-z'
'-x,y,-z'
'x,-y,z'
'x+1/2,y+1/2,z'
'-x+1/2,-y+1/2,-z'
'-x+1/2,y+1/2,-z'
'x+1/2,-y+1/2,z'
loop_
_atom_site_label
_atom_site_type_symbol
_atom_site_fract_x
_atom_site_fract_y
_atom_site_fract_z
_atom_site_occupancy
Nd1 Nd 0.000 0.000 0.000 1
Nd2 Nd 0.000 0.336 0.000 1
Y1 Y 0.000 0.500 0.500 1
Er1 Er 0.000 0.166 0.500 1
Se1 Se 0.241 0.000 0.732 1
Se2 Se 0.246 0.332 0.734 1
```